Record 1
YInHgIr (GGA-PBE, optimized geometry); crystal system = cubic; SG = F-43m
1.0
6.961 0.000 0.000
0.000 6.961 0.000
0.000 0.000 6.961
Y In Hg Ir
4 4 4 4
direct
0.000 0.000 0.000
0.000 0.500 0.500
0.500 0.000 0.500
0.500 0.500 0.000
0.000 0.000 0.500
0.000 0.500 0.000
0.500 0.000 0.000
0.500 0.500 0.500
0.250 0.250 0.750
0.250 0.750 0.250
0.750 0.250 0.250
0.750 0.750 0.750
0.250 0.250 0.250
0.250 0.750 0.750
0.750 0.250 0.750
0.750 0.750 0.250

---

Record 2
Zn2InHgIr (GGA-PBE, optimized geometry); crystal system = tetragonal; SG = P4/mmm
1.0
4.887 0.000 0.000
0.000 4.887 0.000
0.000 0.000 5.198
Zn In Hg Ir
2 1 1 1
direct
0.000 0.500 0.000
0.500 0.000 0.000
0.000 0.000 0.500
0.500 0.500 0.500
0.000 0.000 0.000

---

Record 3
ZnIn2HgIr (GGA-PBE, optimized geometry); crystal system = tetragonal; SG = P4/mmm
1.0
5.197 0.000 0.000
0.000 5.197 0.000
0.000 0.000 4.931
Zn In Hg Ir
1 2 1 1
direct
0.000 0.000 0.000
0.000 0.500 0.500
0.500 0.000 0.500
0.500 0.500 0.000
0.000 0.000 0.500

---

Record 4
KIn2Hg (GGA-PBE, optimized geometry); crystal system = trigonal; SG = R3m
1.0
3.693 0.000 0.000
-1.846 3.198 0.000
0.000 0.000 31.500
K In Hg
3 6 3
direct
0.000 0.000 0.000
0.333 0.667 0.667
0.667 0.333 0.333
0.000 0.000 0.239
0.000 0.000 0.495
0.333 0.667 0.161
0.333 0.667 0.906
0.667 0.333 0.572
0.667 0.333 0.828
0.000 0.000 0.754
0.333 0.667 0.420
0.667 0.333 0.087

---

Record 5
KIn3Hg3 (GGA-PBE, optimized geometry); crystal system = monoclinic; SG = P2_1/m
1.0
8.979 0.000 0.000
0.000 4.805 0.000
-3.251 0.000 9.510
K In Hg
2 6 6
direct
0.173 0.250 0.303
0.827 0.750 0.697
0.270 0.750 0.777
0.356 0.250 0.006
0.478 0.750 0.245
0.522 0.250 0.755
0.644 0.750 0.994
0.730 0.250 0.223
0.071 0.250 0.617
0.119 0.750 0.033
0.399 0.750 0.533
0.601 0.250 0.467
0.881 0.250 0.967
0.929 0.750 0.383

---

Record 6
K6InHg (GGA-PBE, optimized geometry); crystal system = orthorhombic; SG = Amm2
1.0
4.929 0.000 0.000
0.000 13.056 0.000
0.000 0.000 14.310
K In Hg
12 2 2
direct
0.000 0.000 0.000
0.000 0.164 0.707
0.000 0.336 0.207
0.000 0.500 0.500
0.000 0.664 0.207
0.000 0.836 0.707
0.500 0.000 0.265
0.500 0.226 0.461
0.500 0.274 0.961
0.500 0.500 0.765
0.500 0.726 0.961
0.500 0.774 0.461
0.000 0.000 0.480
0.000 0.500 0.980
0.500 0.000 0.591
0.500 0.500 0.091

---

Record 7
KInHg (GGA-PBE, optimized geometry); crystal system = hexagonal; SG = P-6m2
1.0
5.355 0.000 0.000
-2.677 4.637 0.000
0.000 0.000 3.846
K In Hg
1 1 1
direct
0.000 0.000 0.000
0.333 0.667 0.500
0.667 0.333 0.500

---

Record 8
K2In12Hg7 (GGA-PBE, optimized geometry); crystal system = trigonal; SG = P-3
1.0
11.992 0.000 0.000
-5.996 10.385 0.000
0.000 0.000 4.829
K In Hg
2 12 7
direct
0.333 0.667 0.233
0.667 0.333 0.767
0.048 0.619 0.763
0.114 0.858 0.218
0.142 0.257 0.218
0.257 0.114 0.782
0.381 0.429 0.763
0.429 0.048 0.237
0.571 0.952 0.763
0.619 0.571 0.237
0.743 0.886 0.218
0.858 0.743 0.782
0.886 0.142 0.782
0.952 0.381 0.237
0.000 0.000 0.500
0.130 0.421 0.719
0.291 0.870 0.719
0.421 0.291 0.281
0.579 0.709 0.719
0.709 0.130 0.281
0.870 0.579 0.281

---

Record 9
K2InHg (GGA-PBE, optimized geometry); crystal system = monoclinic; SG = C2/m
1.0
8.076 0.000 0.000
0.000 10.098 0.000
-0.037 0.000 3.703
K In Hg
4 2 2
direct
0.250 0.250 0.000
0.250 0.750 0.000
0.750 0.250 0.000
0.750 0.750 0.000
0.000 0.000 0.500
0.500 0.500 0.500
0.000 0.500 0.500
0.500 0.000 0.500

---

Record 10
KIn2Hg2 (GGA-PBE, optimized geometry); crystal system = triclinic; SG = P-1
1.0
6.051 0.000 0.000
-2.729 5.865 0.000
-2.332 -2.299 8.341
K In Hg
2 4 4
direct
0.044 0.401 0.200
0.956 0.599 0.800
0.243 0.962 0.522
0.327 0.232 0.895
0.673 0.768 0.105
0.757 0.038 0.478
0.305 0.993 0.174
0.324 0.491 0.604
0.676 0.509 0.396
0.695 0.007 0.826

---

Record 11
K2InHg (GGA-PBE, optimized geometry); crystal system = trigonal; SG = R-3m
1.0
3.973 0.000 0.000
-1.986 3.441 0.000
0.000 0.000 34.150
K In Hg
6 3 3
direct
0.000 0.000 0.248
0.000 0.000 0.752
0.333 0.667 0.418
0.333 0.667 0.915
0.667 0.333 0.085
0.667 0.333 0.582
0.000 0.000 0.000
0.333 0.667 0.667
0.667 0.333 0.333
0.000 0.000 0.500
0.333 0.667 0.167
0.667 0.333 0.833

---

Record 12
KInHg10 (GGA-PBE, optimized geometry); crystal system = orthorhombic; SG = Pmmm
1.0
5.598 0.000 0.000
0.000 6.192 0.000
0.000 0.000 10.570
K In Hg
1 1 10
direct
0.000 0.000 0.000
0.000 0.500 0.500
0.000 0.000 0.344
0.000 0.000 0.656
0.000 0.500 0.183
0.000 0.500 0.817
0.500 0.000 0.500
0.500 0.249 0.250
0.500 0.249 0.750
0.500 0.500 0.000
0.500 0.751 0.250
0.500 0.751 0.750

---

no.,ΔH_f (0 K) (eV per formula unit),energy (Ry per atom)
1,-1.248,-0.3604
2,0.337,-0.2074
3,-0.236,-0.2374
4,-0.062,-0.1275
5,-0.705,-0.1147
6,-0.439,-0.0925
7,-0.462,-0.1127
8,-1.338,-0.1348
9,-0.207,-0.1000
10,-0.630,-0.1148
11,0.033,-0.0956
12,-0.361,-0.0442